(1)
K2MgTaB | PBE | relaxed

Cell: 6.8610 4.2165 6.8610 Å, 90.00 90.00 90.00°
Fractional positions:
K 0.0000 0.0000 0.5000
K 0.5000 0.0000 0.0000
B 0.0000 0.5000 0.0000
Ta 0.0000 0.0000 0.0000
Mg 0.5000 0.5000 0.5000

## Properties
Its space-group type is No. 123. As for the electronic total energy: -3.128 eV per atom. The value obtained for the density of states at the Fermi level is 0.6978 states/eV per atom. Its crystal system is tetragonal. The calculation puts the energy of formation at 1336 meV per atom. The volume is 39.70 Å³/atom.

***

(2)
K2MnB | PBE | relaxed

Cell: 12.1967 12.1967 8.8567 Å, 46.48 46.48 90.00°
Fractional positions:
K 0.3750 0.5697 0.7500
K 0.3197 0.6250 0.2500
K 0.8750 0.6803 0.7500
K 0.4303 0.1250 0.2500
B 0.5000 0.5000 0.0000
B 0.2500 0.7500 0.5000
Mn 0.0000 0.0000 0.0000
Mn 0.7500 0.2500 0.5000

## Properties
Its space-group type is No. 122. As for the electronic total energy: -3.796 eV per atom. The value obtained for the density of states at the Fermi level is 0.5973 states/eV per atom. Its crystal system is tetragonal. The calculation puts the energy of formation at 714 meV per atom. The volume is 37.48 Å³/atom.